1.
First-principles (PBE) data for ScCoP2 after structural relaxation, as listed in Alexandria.

```
ScCoP2
1.0
3.1206 -1.8063 0.0000
3.1206 1.8063 0.0000
-2.0974 0.0000 5.1428
Sc Co P
1 1 2
direct
0.0000 0.0000 0.0000
0.5000 0.5000 0.5000
0.2290 0.2290 0.6877
0.7710 0.7710 0.3123
```

Results
excess energy over the best structure of this formula in the dataset	0	meV/atom
magnetic moment	0.00	μB/cell
formation enthalpy at 0 K	-0.839	eV/atom

---

2.
First-principles (PBE) data for ScCoP2 after structural relaxation, as listed in Alexandria.

```
ScCoP2
1.0
1.8838 -2.6729 0.0000
1.8838 2.6729 0.0000
0.0000 0.0000 5.9497
Sc Co P
1 1 2
direct
0.0000 0.0000 0.0000
0.0000 0.0000 0.5000
0.5000 0.5000 0.2953
0.5000 0.5000 0.7047
```

Results
excess energy over the best structure of this formula in the dataset	342	meV/atom
magnetic moment	0.58	μB/cell
formation enthalpy at 0 K	-0.497	eV/atom

---

3.
First-principles (PBE) data for ScCoP2 after structural relaxation, as listed in Alexandria.

```
ScCoP2
1.0
0.0000 3.0685 3.0685
3.0685 0.0000 3.0685
3.0685 3.0685 0.0000
Sc Co P
1 1 2
direct
0.0000 0.0000 0.0000
0.5000 0.5000 0.5000
0.2500 0.2500 0.2500
0.7500 0.7500 0.7500
```

Results
excess energy over the best structure of this formula in the dataset	494	meV/atom
magnetic moment	1.85	μB/cell
formation enthalpy at 0 K	-0.345	eV/atom

---

Repeat the third record exactly.
First-principles (PBE) data for ScCoP2 after structural relaxation, as listed in Alexandria.

```
ScCoP2
1.0
0.0000 3.0685 3.0685
3.0685 0.0000 3.0685
3.0685 3.0685 0.0000
Sc Co P
1 1 2
direct
0.0000 0.0000 0.0000
0.5000 0.5000 0.5000
0.2500 0.2500 0.2500
0.7500 0.7500 0.7500
```

Results
excess energy over the best structure of this formula in the dataset	494	meV/atom
magnetic moment	1.85	μB/cell
formation enthalpy at 0 K	-0.345	eV/atom

---

- Which value of formation enthalpy at 0 K does entry 1 give?
  -0.839 eV/atom

---

Please write out number 1 again, unchanged.
First-principles (PBE) data for ScCoP2 after structural relaxation, as listed in Alexandria.

```
ScCoP2
1.0
3.1206 -1.8063 0.0000
3.1206 1.8063 0.0000
-2.0974 0.0000 5.1428
Sc Co P
1 1 2
direct
0.0000 0.0000 0.0000
0.5000 0.5000 0.5000
0.2290 0.2290 0.6877
0.7710 0.7710 0.3123
```

Results
excess energy over the best structure of this formula in the dataset	0	meV/atom
magnetic moment	0.00	μB/cell
formation enthalpy at 0 K	-0.839	eV/atom